Entry 1:
! SrCd2Ag4 (GGA-PBE, optimized geometry); values from VASP
&SYSTEM
  ibrav = 0, nat = 7, ntyp = 3
/
ATOMIC_SPECIES
Sr 87.62 Sr.upf
Cd 112.41 Cd.upf
Ag 107.87 Ag.upf
ATOMIC_POSITIONS angstrom
Sr 0.0000 0.0000 0.0000
Cd 4.9910 2.3980 5.8107
Cd 2.4779 2.3969 4.4659
Ag 5.0124 2.7965 8.8028
Ag 2.4567 1.9985 1.4739
Ag 5.8878 4.9420 7.1654
Ag 1.5814 -0.1471 3.1114
CELL_PARAMETERS angstrom
5.0343 0.0061 2.6992
2.3578 5.1901 1.6554
0.0770 -0.4013 5.9221
! Energy above the lowest structure with this stoichiometry in eV/atom: 0.000
! Density of states at the Fermi level in states/eV/f.u.: 2.57
! M_tot in μB/cell: 0.0

***

Entry 2:
! Sr2Cd5Ag4 (GGA-PBE, optimized geometry); values from VASP
&SYSTEM
  ibrav = 0, nat = 11, ntyp = 3
/
ATOMIC_SPECIES
Sr 87.62 Sr.upf
Cd 112.41 Cd.upf
Ag 107.87 Ag.upf
ATOMIC_POSITIONS angstrom
Sr -6.8077 1.1376 -2.9813
Sr -2.4467 -0.2573 -0.2189
Cd 0.0170 1.8553 -2.3709
Cd -0.3288 2.8545 0.3200
Cd 0.3458 -0.9992 -2.6908
Cd -4.9645 2.3670 -0.0947
Cd -4.2900 -1.4867 -3.1055
Ag -2.1804 0.4037 -3.5225
Ag -7.0741 0.4766 0.3223
Ag -6.6545 -1.9203 -1.5503
Ag -2.5999 2.8006 -1.6499
CELL_PARAMETERS angstrom
-0.6576 5.7090 0.6400
0.6916 -1.9985 -5.3817
-9.2884 -2.8302 1.5415
! Energy above the lowest structure with this stoichiometry in eV/atom: 0.000
! Density of states at the Fermi level in states/eV/f.u.: 4.04
! M_tot in μB/cell: 0.0

***

Entry 3:
! SrCdAg3 (GGA-PBE, optimized geometry); values from VASP
&SYSTEM
  ibrav = 0, nat = 20, ntyp = 3
/
ATOMIC_SPECIES
Sr 87.62 Sr.upf
Cd 112.41 Cd.upf
Ag 107.87 Ag.upf
ATOMIC_POSITIONS angstrom
Sr 3.1035 3.1061 3.1967
Sr 3.1085 3.1061 9.5902
Sr 0.0025 0.0000 3.1967
Sr 6.2095 0.0000 9.5902
Cd 1.5530 1.5531 0.0029
Cd 4.6590 4.6592 12.7840
Cd 1.5530 4.6592 6.3906
Cd 4.6590 1.5531 6.3964
Ag 1.5530 1.5531 6.3879
Ag 4.6590 4.6592 6.3991
Ag 1.5530 4.6592 0.0056
Ag 4.6590 1.5531 12.7814
Ag 6.2070 3.1044 1.8241
Ag 0.0050 3.1078 10.9629
Ag 6.2070 3.1078 4.5694
Ag 3.1110 6.2105 4.5694
Ag 0.0050 3.1044 8.2176
Ag 3.1010 0.0017 8.2176
Ag 3.1110 0.0017 1.8241
Ag 3.1010 6.2105 10.9629
CELL_PARAMETERS angstrom
6.2120 0.0000 0.0000
0.0000 6.2122 0.0000
0.0000 0.0000 12.7870
! Energy above the lowest structure with this stoichiometry in eV/atom: 0.000
! Density of states at the Fermi level in states/eV/f.u.: 2.49
! M_tot in μB/cell: 0.0

***

Entry 4:
! SrCd2Ag2 (GGA-PBE, optimized geometry); values from VASP
&SYSTEM
  ibrav = 0, nat = 10, ntyp = 3
/
ATOMIC_SPECIES
Sr 87.62 Sr.upf
Cd 112.41 Cd.upf
Ag 107.87 Ag.upf
ATOMIC_POSITIONS angstrom
Sr 8.1738 4.9182 2.2474
Sr 3.7929 2.1766 5.5191
Cd 5.1629 2.4178 1.7953
Cd 9.7707 5.9377 5.6916
Cd 2.1959 1.1571 2.0750
Cd 6.8037 4.6770 5.9713
Ag 5.1418 5.1647 0.8515
Ag 6.8284 2.4304 4.1213
Ag 6.8249 1.9301 6.9150
Ag 5.1383 4.6644 3.6453
CELL_PARAMETERS angstrom
5.9932 0.0070 -0.0141
3.0027 6.2600 0.5968
2.9708 0.8278 7.1838
! Energy above the lowest structure with this stoichiometry in eV/atom: 0.024
! Density of states at the Fermi level in states/eV/f.u.: 2.03
! M_tot in μB/cell: 0.0

***

Entry 5:
! SrCd3Ag (GGA-PBE, optimized geometry); values from VASP
&SYSTEM
  ibrav = 0, nat = 5, ntyp = 3
/
ATOMIC_SPECIES
Sr 87.62 Sr.upf
Ag 107.87 Ag.upf
Cd 112.41 Cd.upf
ATOMIC_POSITIONS angstrom
Sr 0.0000 0.0000 0.0000
Ag 4.3909 -2.8046 1.8929
Cd 2.4875 -0.9544 -1.7732
Cd 2.0108 1.0269 2.2682
Cd -0.1075 -2.8770 1.3978
CELL_PARAMETERS angstrom
-0.2150 -5.7540 2.7957
4.9750 -1.9089 -3.5463
4.0217 2.0538 4.5364
! Energy above the lowest structure with this stoichiometry in eV/atom: 0.955
! Density of states at the Fermi level in states/eV/f.u.: 2.28
! M_tot in μB/cell: 0.0

***

Entry 6:
! Sr2Cd12Ag5 (GGA-PBE, optimized geometry); values from VASP
&SYSTEM
  ibrav = 0, nat = 19, ntyp = 3
/
ATOMIC_SPECIES
Sr 87.62 Sr.upf
Cd 112.41 Cd.upf
Ag 107.87 Ag.upf
ATOMIC_POSITIONS angstrom
Sr 5.5610 5.1461 6.0486
Sr 2.8469 2.6345 3.0965
Cd 2.7167 5.3793 0.7572
Cd 5.4040 0.1090 2.7706
Cd 0.2872 2.2924 5.6173
Cd 5.5734 2.2924 0.7572
Cd 2.3077 0.1090 5.6173
Cd 0.5267 5.3793 2.7706
Cd 2.9942 2.7708 7.0395
Cd 3.2858 6.5289 3.5740
Cd 6.7636 2.7708 3.5740
Cd 5.1220 1.2517 5.5711
Cd 5.4136 5.0098 2.1057
Cd 1.6443 5.0098 5.5711
Ag 0.0589 0.0545 3.8153
Ag 0.3481 3.7814 0.3786
Ag 3.7969 0.0545 0.3786
Ag 7.5414 6.9788 8.2027
Ag 0.8665 0.8018 0.9424
CELL_PARAMETERS angstrom
7.5939 0.1090 0.7572
0.6962 7.5627 0.7572
0.1178 0.1090 7.6307
! Final energy in eV/atom: -1.670
! Density of states at the Fermi level in states/eV/f.u.: 5.99
! M_tot in μB/cell: 0.0

***

Entry 7:
! Sr8Cd2Ag (GGA-PBE, optimized geometry); values from VASP
&SYSTEM
  ibrav = 0, nat = 11, ntyp = 3
/
ATOMIC_SPECIES
Sr 87.62 Sr.upf
Cd 112.41 Cd.upf
Ag 107.87 Ag.upf
ATOMIC_POSITIONS angstrom
Sr 3.1964 2.6650 -1.1673
Sr 3.7605 0.5344 2.0628
Sr 0.2276 2.6985 1.7403
Sr 6.0674 1.1787 5.3127
Sr 4.7340 6.2149 -2.3220
Sr 3.6976 4.8648 2.5633
Sr 0.0467 7.0635 2.2736
Sr 0.6134 4.9233 5.5181
Cd 1.5341 5.4328 -0.2693
Cd 2.3885 2.2057 4.6229
Ag 1.3198 -0.0204 -0.2440
CELL_PARAMETERS angstrom
6.9132 -0.1460 -1.3036
-2.4905 8.0330 -3.5876
-0.2690 -0.3577 9.1324
! Energy above the lowest structure with this stoichiometry in eV/atom: 0.026
! Density of states at the Fermi level in states/eV/f.u.: 10.38
! M_tot in μB/cell: 0.0

***

Entry 8:
! SrCd3Ag (GGA-PBE, optimized geometry); values from VASP
&SYSTEM
  ibrav = 0, nat = 5, ntyp = 3
/
ATOMIC_SPECIES
Sr 87.62 Sr.upf
Ag 107.87 Ag.upf
Cd 112.41 Cd.upf
ATOMIC_POSITIONS angstrom
Sr -4.1716 -1.5046 -1.1979
Ag 0.0000 0.0000 0.0000
Cd -1.1656 -2.1898 0.9381
Cd -2.2636 1.3436 0.3236
Cd -0.7424 -0.6584 -2.4595
CELL_PARAMETERS angstrom
-1.4848 -1.3169 -4.9190
-2.3313 -4.3795 1.8761
-4.5272 2.6871 0.6471
! Energy above the lowest structure with this stoichiometry in eV/atom: 0.187
! Density of states at the Fermi level in states/eV/f.u.: 2.24
! M_tot in μB/cell: 0.0

***

Number 5 is which compound? SrCd3Ag